Record 1
This record from Alexandria describes MnTc2Cl after structural relaxation. The functional is PBE.

## Properties
For the energy, the calculation gives -7.472 eV per atom. As for the space group: C2/m, No. 12. The energy above the most stable polymorph in this dataset comes out at 26.2 kJ per mole of atoms. The calculation puts the uncorrected formation energy at 44.88 kJ/mol of atoms.

```
MnTc2Cl
1.0
-0.527 3.072 4.085
1.617 1.197 4.727
2.859 2.769 -1.463
Tc Mn Cl
2 1 1
Direct
0.539 0.539 0.469
0.961 0.961 0.031
0.250 0.250 0.250
0.750 0.750 0.750
```



Record 2
This record from Alexandria describes MnTc2Cl after structural relaxation. The functional is PBE.

## Properties
For the energy, the calculation gives -7.623 eV per atom. As for the space group: Pmmm, No. 47. The energy above the most stable polymorph in this dataset comes out at 11.6 kJ per mole of atoms. The calculation puts the uncorrected formation energy at 30.26 kJ/mol of atoms.

```
MnTc2Cl
1.0
-2.804 -1.087 0.224
0.541 -0.816 2.816
-2.220 6.182 2.215
Tc Cl Mn
2 1 1
Direct
0.000 0.250 0.948
0.000 0.250 0.552
0.500 0.250 0.250
0.500 0.750 0.750
```



Record 3
This record from Alexandria describes MnTc2Cl after structural relaxation. The functional is PBE.

## Properties
For the energy, the calculation gives -7.231 eV per atom. As for the space group: Pmmm, No. 47. The energy above the most stable polymorph in this dataset comes out at 49.5 kJ per mole of atoms. The calculation puts the uncorrected formation energy at 68.09 kJ/mol of atoms.

```
MnTc2Cl
1.0
-0.354 -1.604 2.309
4.584 0.158 0.813
-0.570 3.712 2.491
Mn Tc Cl
1 2 1
Direct
0.000 0.500 0.500
0.000 0.000 0.000
0.500 0.500 0.000
0.500 0.000 0.500
```



Record 4
This record from Alexandria describes MnTc2Cl after structural relaxation. The functional is PBE.

## Properties
For the energy, the calculation gives -7.191 eV per atom. As for the space group: Fm-3m, No. 225. The energy above the most stable polymorph in this dataset comes out at 53.3 kJ per mole of atoms. The calculation puts the uncorrected formation energy at 71.98 kJ/mol of atoms.

```
MnTc2Cl
1.0
0.000 3.032 3.032
3.032 0.000 3.032
3.032 3.032 0.000
Tc Cl Mn
2 1 1
Direct
0.250 0.250 0.250
0.750 0.750 0.750
0.000 0.000 0.000
0.500 0.500 0.500
```



Q: The highest energy belongs to which entry?
A: number 4